1.
# Cs5CeS5 (PBE-GGA, relaxed)
# Uncorrected energy (eV per atom): -3.9607
# Raw formation energy (eV/f.u.): -12.73
data_Cs5CeS5
_cell_length_a 6.533
_cell_length_b 8.538
_cell_length_c 9.387
_cell_angle_alpha 108.16
_cell_angle_beta 90.00
_cell_angle_gamma 112.49
_symmetry_space_group_name_H-M 'P 1'
_symmetry_Int_Tables_number 1
_symmetry_space_group_name_Hall 'P 1'
loop_
_atom_site_label
_atom_site_type_symbol
_atom_site_fract_x
_atom_site_fract_y
_atom_site_fract_z
_atom_site_occupancy
Cs1 Cs 0.329 0.657 0.162 1
Cs2 Cs 0.000 0.000 0.500 1
Cs3 Cs 0.697 0.394 0.304 1
Cs4 Cs 0.671 0.343 0.838 1
Cs5 Cs 0.303 0.606 0.696 1
S1 S 0.500 0.000 0.000 1
S2 S 0.127 0.254 0.869 1
S3 S 0.873 0.746 0.131 1
S4 S 0.869 0.739 0.723 1
S5 S 0.131 0.261 0.277 1
Ce1 Ce 0.000 0.000 0.000 1


2.
# CsCe4S8 (PBE-GGA, relaxed)
# Uncorrected energy (eV per atom): -6.0191
# Raw formation energy (eV/f.u.): -20.64
data_CsCe4S8
_cell_length_a 7.881
_cell_length_b 7.881
_cell_length_c 17.945
_cell_angle_alpha 90.00
_cell_angle_beta 90.00
_cell_angle_gamma 120.00
_symmetry_space_group_name_H-M 'P 1'
_symmetry_Int_Tables_number 1
_symmetry_space_group_name_Hall 'P 1'
loop_
_atom_site_label
_atom_site_type_symbol
_atom_site_fract_x
_atom_site_fract_y
_atom_site_fract_z
_atom_site_occupancy
S1 S 0.166 0.332 0.661 1
S2 S 0.332 0.166 0.339 1
S3 S 0.166 0.834 0.839 1
S4 S 0.834 0.166 0.339 1
S5 S 0.834 0.668 0.161 1
S6 S 0.332 0.166 0.161 1
S7 S 0.333 0.667 0.161 1
S8 S 0.667 0.333 0.839 1
S9 S 0.667 0.333 0.661 1
S10 S 0.834 0.668 0.339 1
S11 S 0.668 0.834 0.661 1
S12 S 0.668 0.834 0.839 1
S13 S 0.166 0.834 0.661 1
S14 S 0.834 0.166 0.161 1
S15 S 0.166 0.332 0.839 1
S16 S 0.333 0.667 0.339 1
Ce1 Ce 0.000 0.000 0.750 1
Ce2 Ce 0.499 0.998 0.250 1
Ce3 Ce 0.501 0.002 0.750 1
Ce4 Ce 0.000 0.000 0.250 1
Ce5 Ce 0.998 0.499 0.750 1
Ce6 Ce 0.501 0.499 0.750 1
Ce7 Ce 0.002 0.501 0.250 1
Ce8 Ce 0.499 0.501 0.250 1
Cs1 Cs 0.000 0.000 0.000 1
Cs2 Cs 0.000 0.000 0.500 1